1.
The following is a DFT calculation (PBE-GGA) of crystalline DyPd5Au8 at its relaxed geometry.

Lattice parameters (Å, degrees): 6.995 6.995 6.995 111.09 106.29 111.09
Fractional coordinates of all 14 atoms:
Au  0.083  0.732  0.484
Au  0.133  0.730  0.081
Au  0.919  0.052  0.649
Au  0.752  0.268  0.352
Au  0.597  0.948  0.867
Au  0.516  0.599  0.248
Au  0.648  0.401  0.917
Au  0.351  0.270  0.403
Dy  0.250  0.500  0.750
Pd  0.795  0.665  0.712
Pd  0.047  0.335  0.130
Pd  0.500  0.000  0.500
Pd  0.288  0.083  0.953
Pd  0.870  0.917  0.205

- Symmetry: I-4 (82)
- ΔE_f: -0.1411 eV per atom
- Magnetization: 0.00 μB per cell



2.
The following is a DFT calculation (PBE-GGA) of crystalline La4CeHo3Se8 at its relaxed geometry.

Lattice parameters (Å, degrees): 8.374 8.443 8.373 119.73 120.00 90.00
Each line ends with the local moment (μB).
Fractional coordinates of all 16 atoms:
Se  0.247  0.733  0.495  0.00
Se  0.261  0.267  0.014  0.00
Se  0.753  0.267  0.505  0.00
Se  0.739  0.733  0.986  0.00
Se  0.743  0.729  0.486  0.00
Se  0.257  0.271  0.514  0.00
Se  0.247  0.733  0.986  0.00
Se  0.753  0.267  0.014  0.00
La  0.500  0.000  0.000  0.00
La  0.000  0.000  0.500  -0.01
La  0.000  0.000  0.000  -0.01
La  0.500  0.000  0.500  -0.01
Ho  0.000  0.500  0.500  -0.01
Ho  0.500  0.500  0.000  -0.01
Ho  0.500  0.500  0.500  -0.01
Ce  0.000  0.500  0.000  -0.64

- Symmetry: R-3m (166)
- Magnetization: 0.84 μB per cell
- Formation energy (no corrections): -181.1 kJ/mol of atoms



3.
The following is a DFT calculation (PBE-GGA) of crystalline TaTc2Te at its relaxed geometry.

Lattice parameters (Å, degrees): 3.212 4.814 4.415 90.00 90.00 90.00
Fractional coordinates of all 4 atoms:
Ta  0.000  0.500  0.500
Te  0.500  0.000  0.500
Tc  0.500  0.500  0.000
Tc  0.000  0.000  0.000

- Symmetry: Pmmm (47)
- Magnetization: 0.00 μB per cell
- Formation energy (no corrections): 30.7 kJ/mol of atoms



4.
The following is a DFT calculation (PBE-GGA) of crystalline Cr2RhW at its relaxed geometry.

Lattice parameters (Å, degrees): 6.792 6.792 5.433 51.31 51.31 90.00
Fractional coordinates of all 8 atoms:
Rh  0.250  0.750  0.500
Rh  0.500  0.500  0.000
Cr  0.875  0.871  0.750
Cr  0.129  0.625  0.250
Cr  0.621  0.125  0.250
Cr  0.375  0.379  0.750
W  0.000  0.000  0.000
W  0.750  0.250  0.500

- Symmetry: I-42d (122)
- ΔE_f: 0.7748 eV per atom
- Magnetization: 0.00 μB per cell



5.
The following is a DFT calculation (PBE-GGA) of crystalline Mg2FeB6 at its relaxed geometry.

Lattice parameters (Å, degrees): 4.212 4.600 4.706 119.26 97.73 90.00
Each line ends with the local moment (μB).
Fractional coordinates of all 9 atoms:
B  0.577  0.910  0.215  0.02
B  0.350  0.246  0.491  0.00
B  0.577  0.305  0.215  0.02
B  0.423  0.090  0.785  0.02
B  0.423  0.695  0.785  0.02
B  0.650  0.754  0.509  0.00
Mg  0.892  0.341  0.681  -0.01
Mg  0.108  0.659  0.319  -0.01
Fe  0.000  0.000  0.000  1.06

- Symmetry: C2/m (12)
- ΔE_f: 0.2344 eV per atom
- Magnetization: 1.08 μB per cell



6.
The following is a DFT calculation (PBE-GGA) of crystalline Ce9InPb2 at its relaxed geometry.

Lattice parameters (Å, degrees): 4.823 4.823 14.469 90.00 90.00 90.00
Each line ends with the local moment (μB).
Fractional coordinates of all 12 atoms:
Ce  0.000  0.500  0.835  0.76
Ce  0.500  0.500  0.000  0.77
Ce  0.500  0.500  0.669  0.76
Ce  0.500  0.500  0.331  0.76
Ce  0.500  0.000  0.835  0.76
Ce  0.000  0.500  0.500  0.76
Ce  0.500  0.000  0.500  0.76
Ce  0.000  0.500  0.165  0.76
Ce  0.500  0.000  0.165  0.76
Pb  0.000  0.000  0.667  -0.02
Pb  0.000  0.000  0.333  -0.02
In  0.000  0.000  0.000  -0.02

- Symmetry: P4/mmm (123)
- ΔE_f: -0.2443 eV per atom
- Magnetization: 8.43 μB per cell



7.
The following is a DFT calculation (PBE-GGA) of crystalline Cu3SnGe3 at its relaxed geometry.

Lattice parameters (Å, degrees): 6.702 6.702 6.702 90.00 90.00 90.00
Fractional coordinates of all 14 atoms:
Ge  0.750  0.000  0.500
Ge  0.000  0.500  0.750
Ge  0.500  0.250  0.000
Ge  0.500  0.750  0.000
Ge  0.000  0.500  0.250
Ge  0.250  0.000  0.500
Cu  0.750  0.500  0.000
Cu  0.000  0.250  0.500
Cu  0.000  0.750  0.500
Cu  0.500  0.000  0.750
Cu  0.250  0.500  0.000
Cu  0.500  0.000  0.250
Sn  0.000  0.000  0.000
Sn  0.500  0.500  0.500

- Symmetry: Pm-3n (223)
- ΔE_f: 0.4379 eV per atom
- Magnetization: 0.00 μB per cell



8.
The following is a DFT calculation (PBE-GGA) of crystalline Re2TcTe at its relaxed geometry.

Lattice parameters (Å, degrees): 4.524 4.524 4.524 60.00 60.00 60.00
Each line ends with the local moment (μB).
Fractional coordinates of all 4 atoms:
Re  0.250  0.250  0.250  0.28
Re  0.000  0.000  0.000  -0.01
Tc  0.500  0.500  0.500  0.01
Te  0.750  0.750  0.750  0.01

- Symmetry: F-43m (216)
- Magnetization: 0.32 μB per cell
- Formation energy (no corrections): 65.1 kJ/mol of atoms



9.
The following is a DFT calculation (PBE-GGA) of crystalline La4Sb2SeBr at its relaxed geometry.

Lattice parameters (Å, degrees): 4.514 7.651 7.854 70.22 90.00 90.00
Fractional coordinates of all 8 atoms:
La  0.000  0.747  0.742
La  0.500  0.741  0.262
La  0.000  0.253  0.258
La  0.500  0.259  0.738
Br  0.500  0.500  0.000
Sb  0.000  0.000  0.000
Sb  0.500  0.000  0.500
Se  0.000  0.500  0.500

- Symmetry: P2/m (10)
- Magnetization: 0.00 μB per cell
- Formation energy (no corrections): -143.6 kJ/mol of atoms



10.
The following is a DFT calculation (PBE-GGA) of crystalline PaAgAu at its relaxed geometry.

Lattice parameters (Å, degrees): 3.082 4.858 4.858 120.00 90.00 90.00
Fractional coordinates of all 3 atoms:
Ag  0.167  0.000  0.000
Pa  0.666  0.667  0.333
Au  0.167  0.333  0.667

- Symmetry: P-6m2 (187)
- ΔE_f: -0.2109 eV per atom
- Magnetization: 0.02 μB per cell



Question: Look up the magnetization of the tenth one.
Answer: 0.02 μB per cell